Entry from the Alexandria database: a crystal of Rb3BeTe relaxed with PBEsol (SCAN).

It has space group Pm-3m (No. 221), with a = 6.0812 Å, b = 6.0812 Å, c = 6.0812 Å, α = 90.00°, β = 90.00° and γ = 90.00°. The asymmetric unit holds Rb at (0.0000, 0.0000, 0.5000), Be at (0.0000, 0.0000, 0.0000) and Te at (0.5000, 0.5000, 0.5000).

For the size of the total moment, the calculation gives 1.00 μB/f.u. For the energy, the calculation gives -103.030 eV for the cell shown. The uncorrected formation energy comes out at 158 meV/atom.


Entry from the Alexandria database: a crystal of RbBe3Te relaxed with PBEsol (SCAN).

It has space group Pm-3m (No. 221), with a = 5.2119 Å, b = 5.2119 Å, c = 5.2119 Å, α = 90.00°, β = 90.00° and γ = 90.00°. The asymmetric unit holds Rb at (0.0000, 0.0000, 0.0000), Be at (0.0000, 0.0000, 0.5000) and Te at (0.5000, 0.5000, 0.5000).

For the size of the total moment, the calculation gives 0.00 μB/f.u. For the energy, the calculation gives -59.434 eV for the cell shown. The uncorrected formation energy comes out at 2323 meV/atom.


Entry from the Alexandria database: a crystal of RbTiBe3 relaxed with PBEsol (SCAN).

It has space group Pm-3m (No. 221), with a = 4.5417 Å, b = 4.5417 Å, c = 4.5417 Å, α = 90.00°, β = 90.00° and γ = 90.00°. The asymmetric unit holds Rb at (0.0000, 0.0000, 0.0000), Ti at (0.5000, 0.5000, 0.5000) and Be at (0.0000, 0.0000, 0.5000).

For the size of the total moment, the calculation gives 1.06 μB/f.u. For the energy, the calculation gives -37.126 eV for the cell shown. Its energy of formation from the pure elements is 2.541 eV/atom.


Entry from the Alexandria database: a crystal of Be2Re relaxed with PBEsol (SCAN).

It has space group I4/mmm (No. 139), with a = 2.7339 Å, b = 2.7339 Å, c = 8.2262 Å, α = 90.00°, β = 90.00° and γ = 90.00°. The asymmetric unit holds Be at (0.0000, 0.0000, 0.1833) and Re at (0.0000, 0.0000, 0.5000).

For the size of the total moment, the calculation gives 0.00 μB/f.u. For the energy, the calculation gives -159.293 eV for the cell shown. Its energy of formation from the pure elements is 0.053 eV/atom. As for the energy above the most stable polymorph in this dataset: 138 kJ/mol of formula units.


Entry from the Alexandria database: a crystal of BeRe relaxed with PBEsol (SCAN).

It has space group Pm-3m (No. 221), with a = 2.8141 Å, b = 2.8141 Å, c = 2.8141 Å, α = 90.00°, β = 90.00° and γ = 90.00°. The asymmetric unit holds Be at (0.0000, 0.0000, 0.0000) and Re at (0.5000, 0.5000, 0.5000).

For the size of the total moment, the calculation gives 0.00 μB/f.u. For the energy, the calculation gives -75.245 eV for the cell shown. Its energy of formation from the pure elements is 0.103 eV/atom. As for the energy above the most stable polymorph in this dataset: 61 kJ/mol of formula units.


Entry from the Alexandria database: a crystal of Be3Re relaxed with PBEsol (SCAN).

It has space group Pmmn (No. 59, origin choice 2), with a = 3.4578 Å, b = 4.6444 Å, c = 4.5788 Å, α = 90.00°, β = 90.00° and γ = 90.00°. The asymmetric unit holds Be at (0.2500, 0.0141, 0.1322), Be at (0.2500, 0.7500, 0.7398) and Re at (0.2500, 0.2500, 0.6124).

For the size of the total moment, the calculation gives 0.00 μB/f.u. For the energy, the calculation gives -170.001 eV for the cell shown. Its energy of formation from the pure elements is -0.211 eV/atom.